(1)
The following is a DFT calculation (PBE-GGA) of crystalline PmDySBr at its relaxed geometry.

a = 3.8671 Å, b = 3.8706 Å, c = 7.9654 Å
α = 90.00°, β = 103.95°, γ = 120.03°
Closest atoms and distances in Å follow each position.
Atoms (fractional coordinates):
Pm 0.9359 0.3659 0.3173  3 S 2.76
Dy 0.3335 0.5647 0.9135  3 S 2.67-2.68
S 0.1283 0.9621 0.1059  3 Dy 2.67-2.68, 3 Pm 2.76
Br 0.4803 0.1381 0.6330  3 Dy 3.10, 3 Pm 3.28-3.29

D(E_F) in states/eV per cell: 2.86
Spin magnetization in μB per formula unit: 0.0
Formation energy without anion corrections in eV per atom: -1.51

=====

(2)
The following is a DFT calculation (PBE-GGA) of crystalline PmDyTeBr at its relaxed geometry.

a = 5.2818 Å, b = 5.2818 Å, c = 5.2818 Å
α = 60.00°, β = 60.00°, γ = 60.00°
Closest atoms and distances in Å follow each position.
Atoms (fractional coordinates):
Pm 0.5000 0.5000 0.5000  4 Te 3.23, 4 Br 3.23
Te 0.7500 0.7500 0.7500  4 Pm 3.23, 4 Dy 3.23
Br 0.2500 0.2500 0.2500  4 Dy 3.23, 4 Pm 3.23
Dy 0.0000 0.0000 0.0000  4 Br 3.23, 4 Te 3.23

D(E_F) in states/eV per cell: 3.12
Spin magnetization in μB per formula unit: 0.0
Formation energy without anion corrections in eV per atom: -1.12

=====

(3)
The following is a DFT calculation (PBE-GGA) of crystalline PmDyY2Br4 at its relaxed geometry.

a = 6.9360 Å, b = 6.9360 Å, c = 6.2009 Å
α = 107.26°, β = 107.26°, γ = 117.99°
Closest atoms and distances in Å follow each position.
Atoms (fractional coordinates):
Pm 0.9904 0.9904 0.9809  6 Br 3.08-3.30
Dy 0.4921 0.4921 0.9842  6 Br 3.10-3.30
Y 0.8834 0.3834 0.7669  6 Br 3.10-3.30
Y 0.3834 0.8834 0.7669  6 Br 3.10-3.30
Br 0.4941 0.4941 0.4846  2 Pm 3.08-3.12, 2 Dy 3.10-3.11, 2 Y 3.30
Br 0.3827 0.8836 0.2663  4 Y 3.10, 1 Pm 3.30, 1 Dy 3.30
Br 0.8836 0.3827 0.2663  4 Y 3.10, 1 Pm 3.30, 1 Dy 3.30
Br 0.9906 0.9906 0.4846  2 Pm 3.08-3.12, 2 Dy 3.10-3.11, 2 Y 3.30

D(E_F) in states/eV per cell: 2.76
Spin magnetization in μB per formula unit: 0.0
Formation energy without anion corrections in eV per atom: -0.94

=====

(4)
The following is a DFT calculation (PBE-GGA) of crystalline PrDyBr6 at its relaxed geometry.

a = 7.1697 Å, b = 7.1696 Å, c = 7.7538 Å
α = 62.45°, β = 62.45°, γ = 60.00°
Closest atoms and distances in Å follow each position.
Atoms (fractional coordinates):
Pr 0.0000 0.0000 0.0000  6 Br 2.94
Dy 0.5000 0.5000 0.5000  6 Br 2.82
Br 0.0970 0.4157 0.7447  1 Dy 2.82, 1 Pr 2.94
Br 0.7423 0.0971 0.7449  1 Dy 2.82, 1 Pr 2.94
Br 0.5844 0.2575 0.2552  1 Dy 2.82, 1 Pr 2.94
Br 0.2577 0.9029 0.2551  1 Dy 2.82, 1 Pr 2.94
Br 0.9030 0.5843 0.2553  1 Dy 2.82, 1 Pr 2.94
Br 0.4156 0.7425 0.7448  1 Dy 2.82, 1 Pr 2.94

D(E_F) in states/eV per cell: 0.00
Spin magnetization in μB per formula unit: 0.0
Formation energy without anion corrections in eV per atom: -1.83

=====

(5)
The following is a DFT calculation (PBE-GGA) of crystalline Pr2DyBr8 at its relaxed geometry.

a = 6.2793 Å, b = 7.9567 Å, c = 7.9567 Å
α = 113.01°, β = 100.19°, γ = 100.19°
Closest atoms and distances in Å follow each position.
Atoms (fractional coordinates):
Pr 0.0000 0.3076 0.6924  6 Br 2.94-3.23
Pr 0.0000 0.6924 0.3076  6 Br 2.94-3.23
Dy 0.5000 0.0000 0.0000  4 Br 2.82-2.95
Br 0.8929 0.9193 0.6608  2 Pr 2.94-2.96
Br 0.8929 0.6608 0.9193  2 Pr 2.94-2.96
Br 0.3138 0.6464 0.6464  1 Dy 2.95, 2 Pr 3.23
Br 0.5000 0.7874 0.2126  1 Dy 2.82
Br 0.5000 0.2126 0.7874  1 Dy 2.82
Br 0.6862 0.3536 0.3536  1 Dy 2.95, 2 Pr 3.23
Br 0.1071 0.3392 0.0807  2 Pr 2.94-2.96
Br 0.1071 0.0807 0.3392  2 Pr 2.94-2.96

D(E_F) in states/eV per cell: 3.91
Spin magnetization in μB per formula unit: 1.0
Formation energy without anion corrections in eV per atom: -1.62

=====

(6)
The following is a DFT calculation (PBE-GGA) of crystalline PrDyBr3 at its relaxed geometry.

a = 3.9734 Å, b = 9.4507 Å, c = 10.2930 Å
α = 72.58°, β = 78.87°, γ = 77.86°
Closest atoms and distances in Å follow each position.
Atoms (fractional coordinates):
Pr 0.1387 0.0093 0.7133  5 Br 2.98-3.10
Pr 0.8613 0.9907 0.2867  5 Br 2.98-3.10
Dy 0.4276 0.1869 0.9580  4 Br 2.90-2.94
Dy 0.5724 0.8131 0.0420  4 Br 2.90-2.94
Br 0.6631 0.1823 0.4915  3 Pr 3.06-3.10
Br 0.3369 0.8177 0.5085  3 Pr 3.06-3.10
Br 0.2113 0.6919 0.8855  2 Dy 2.94, 1 Pr 2.98
Br 0.7887 0.3081 0.1145  2 Dy 2.94, 1 Pr 2.98
Br 0.9631 0.3220 0.7519  2 Dy 2.90, 1 Pr 3.02
Br 0.0369 0.6780 0.2481  2 Dy 2.90, 1 Pr 3.02

Spin magnetization in μB per formula unit: 0.0
Formation energy without anion corrections in eV per atom: -1.51

=====

(7)
The following is a DFT calculation (PBE-GGA) of crystalline PrDy2Br at its relaxed geometry.

a = 3.5090 Å, b = 3.5090 Å, c = 11.7157 Å
α = 81.39°, β = 81.39°, γ = 60.00°
Closest atoms and distances in Å follow each position.
Atoms (fractional coordinates):
Pr 0.0000 0.0000 0.0000  2 Dy 3.42, 6 Pr 3.51
Br 0.5000 0.5000 0.5000  6 Dy 3.10
Dy 0.0987 0.0987 0.7039  3 Br 3.10, 1 Pr 3.42
Dy 0.9013 0.9013 0.2961  3 Br 3.10, 1 Pr 3.42

D(E_F) in states/eV per cell: 6.68
Spin magnetization in μB per formula unit: 0.0
Formation energy without anion corrections in eV per atom: -0.25

=====

(8)
The following is a DFT calculation (PBE-GGA) of crystalline Pr2DyBr at its relaxed geometry.

a = 3.7295 Å, b = 3.7295 Å, c = 10.8987 Å
α = 80.15°, β = 80.15°, γ = 60.00°
Closest atoms and distances in Å follow each position.
Atoms (fractional coordinates):
Pr 0.7428 0.7428 0.7717  3 Br 3.25, 3 Dy 3.61
Pr 0.2572 0.2572 0.2283  3 Br 3.25, 3 Dy 3.61
Br 0.0000 0.0000 0.0000  6 Pr 3.25
Dy 0.5000 0.5000 0.5000  6 Pr 3.61, 6 Dy 3.73

D(E_F) in states/eV per cell: 3.93
Spin magnetization in μB per formula unit: 0.0
Formation energy without anion corrections in eV per atom: -0.55

=====

Question: Which value of spin magnetization does entry 4 give?
Answer: 0.0 μB per formula unit

=====

Repeat the second record exactly.
The following is a DFT calculation (PBE-GGA) of crystalline PmDyTeBr at its relaxed geometry.

a = 5.2818 Å, b = 5.2818 Å, c = 5.2818 Å
α = 60.00°, β = 60.00°, γ = 60.00°
Closest atoms and distances in Å follow each position.
Atoms (fractional coordinates):
Pm 0.5000 0.5000 0.5000  4 Te 3.23, 4 Br 3.23
Te 0.7500 0.7500 0.7500  4 Pm 3.23, 4 Dy 3.23
Br 0.2500 0.2500 0.2500  4 Dy 3.23, 4 Pm 3.23
Dy 0.0000 0.0000 0.0000  4 Br 3.23, 4 Te 3.23

D(E_F) in states/eV per cell: 3.12
Spin magnetization in μB per formula unit: 0.0
Formation energy without anion corrections in eV per atom: -1.12

=====

Question: Which value of formation energy without anion corrections does entry 4 give?
Answer: -1.83 eV per atom